Entry 1:
! meta-GGA SCAN ScTa3Ag, single point on PBEsol structure; values from VASP
&SYSTEM
  ibrav = 0, nat = 5, ntyp = 3
/
ATOMIC_SPECIES
Sc 44.96 Sc.upf
Ag 107.87 Ag.upf
Ta 180.95 Ta.upf
CELL_PARAMETERS angstrom
-3.564 -3.018 -0.054
2.085 -2.522 3.332
-2.182 2.519 3.272
ATOMIC_POSITIONS angstrom
Sc 0.000 0.000 0.000
Ag -1.830 -1.511 3.275
Ta 1.043 -1.261 1.666
Ta -1.091 1.259 1.636
Ta -1.782 -1.509 -0.027
! electronic total energy = -234.89 eV for the cell shown
! energy relative to the elements = 10.46 eV/f.u.

Entry 2:
! meta-GGA SCAN ScTaAg2, single point on PBEsol structure; values from VASP
&SYSTEM
  ibrav = 0, nat = 4, ntyp = 3
/
ATOMIC_SPECIES
Ag 107.87 Ag.upf
Sc 44.96 Sc.upf
Ta 180.95 Ta.upf
CELL_PARAMETERS angstrom
4.676 0.000 0.000
2.338 4.050 0.000
2.338 1.350 3.818
ATOMIC_POSITIONS angstrom
Ag 2.338 1.350 0.955
Ag 7.014 4.050 2.864
Sc 0.000 0.000 0.000
Ta 4.676 2.700 1.909
! electronic total energy = -142.61 eV for the cell shown
! energy relative to the elements = 0.94 eV/f.u.

Entry 3:
! meta-GGA SCAN ScTaAg2, single point on PBEsol structure; values from VASP
&SYSTEM
  ibrav = 0, nat = 4, ntyp = 3
/
ATOMIC_SPECIES
Ag 107.87 Ag.upf
Sc 44.96 Sc.upf
Ta 180.95 Ta.upf
CELL_PARAMETERS angstrom
3.068 0.000 0.000
0.000 4.756 0.000
-1.534 -2.378 4.897
ATOMIC_POSITIONS angstrom
Ag 1.534 2.378 2.397
Ag 0.000 0.000 2.500
Sc 1.534 0.000 0.000
Ta 0.000 2.378 0.000
! electronic total energy = -142.35 eV for the cell shown
! energy relative to the elements = 1.20 eV/f.u.

Entry 4:
! meta-GGA SCAN ScTa2Ag2, single point on PBEsol structure; values from VASP
&SYSTEM
  ibrav = 0, nat = 5, ntyp = 3
/
ATOMIC_SPECIES
Ag 107.87 Ag.upf
Sc 44.96 Sc.upf
Ta 180.95 Ta.upf
CELL_PARAMETERS angstrom
-3.631 0.774 -0.440
0.080 -1.557 -3.398
0.136 -5.725 4.684
ATOMIC_POSITIONS angstrom
Ag -2.085 -1.547 -1.396
Ag -1.330 -4.961 2.243
Sc 0.000 0.000 0.000
Ta -0.780 -3.837 -0.316
Ta -2.635 -2.671 1.163
! electronic total energy = -208.36 eV for the cell shown
! energy relative to the elements = 1.77 eV/f.u.

| no. | density (g cm⁻³) |
| --- | --- |
| 1 | 11.34 |
| 2 | 10.14 |
| 3 | 10.26 |
| 4 | 10.71 |